A plane-wave DFT calculation with PBE was carried out for an optimized crystal structure of MgF2.

## Properties
Uncorrected formation energy = -3.483 eV per atom
Total moment = 0.00 μB per cell

Cell lengths 5.009, 5.009, 5.009 Å; angles 90.00, 90.00, 90.00 degrees
Fractional positions:
Mg 0.000 0.000 0.000
Mg 0.000 0.500 0.500
Mg 0.500 0.000 0.500
Mg 0.500 0.500 0.000
F 0.160 0.660 0.840
F 0.160 0.840 0.340
F 0.340 0.160 0.840
F 0.340 0.340 0.340
F 0.660 0.660 0.660
F 0.660 0.840 0.160
F 0.840 0.160 0.660
F 0.840 0.340 0.160